# 1
# Na3TeS PBE-GGA optimized geometry
# - distance to the lowest polymorph of the same formula (kJ/mol of atoms) = 40.5
# - ΔE_f (raw) (kJ/mol of formula units) = -179
# - magnetization (μB/f.u.) = 1.00
data_Na3TeS
_cell_length_a 5.7884
_cell_length_b 5.7884
_cell_length_c 5.7884
_cell_angle_alpha 90.00
_cell_angle_beta 90.00
_cell_angle_gamma 90.00
_symmetry_space_group_name_H-M 'P m -3 m'
_symmetry_Int_Tables_number 221
_symmetry_space_group_name_Hall '-P 4 2 3'
loop_
_atom_site_label
_atom_site_fract_x
_atom_site_fract_y
_atom_site_fract_z
Na1 0.0000 0.0000 0.5000
Te1 0.0000 0.0000 0.0000
S1 0.5000 0.5000 0.5000

---

# 2
# Ce5SmOs3 PBE-GGA optimized geometry
# - ΔE_f (kJ/mol of formula units) = -51.7
# - magnetization (μB/f.u.) = 2.89
data_Ce5SmOs3
_cell_length_a 12.5859
_cell_length_b 9.0851
_cell_length_c 10.2844
_cell_angle_alpha 90.00
_cell_angle_beta 113.58
_cell_angle_gamma 90.00
_symmetry_space_group_name_H-M 'C 1 2/m 1'
_symmetry_Int_Tables_number 12
loop_
_symmetry_equiv_pos_as_xyz
'x,y,z'
'-x,-y,-z'
'-x,y,-z'
'x,-y,z'
'x+1/2,y+1/2,z'
'-x+1/2,-y+1/2,-z'
'-x+1/2,y+1/2,-z'
'x+1/2,-y+1/2,z'
loop_
_atom_site_label
_atom_site_fract_x
_atom_site_fract_y
_atom_site_fract_z
Ce1 0.0000 0.1988 0.0000
Ce2 0.0746 0.0000 0.3747
Ce3 0.1607 0.3041 0.6688
Ce4 0.2315 0.5000 0.0334
Sm1 0.1095 0.5000 0.3025
Os1 0.0000 0.5000 0.0000
Os2 0.0000 0.5000 0.5000
Os3 0.1533 0.0000 0.6728
Os4 0.1685 0.0000 0.1667

---

# 3
# Cs5U2F12 PBE-GGA optimized geometry
# - ΔE_f (raw) (kJ/mol of formula units) = -5758
# - magnetization (μB/f.u.) = 5.00
data_Cs5U2F12
_cell_length_a 14.4017
_cell_length_b 8.3731
_cell_length_c 7.5335
_cell_angle_alpha 90.00
_cell_angle_beta 106.26
_cell_angle_gamma 90.00
_symmetry_space_group_name_H-M 'C 1 2/m 1'
_symmetry_Int_Tables_number 12
loop_
_symmetry_equiv_pos_as_xyz
'x,y,z'
'-x,-y,-z'
'-x,y,-z'
'x,-y,z'
'x+1/2,y+1/2,z'
'-x+1/2,-y+1/2,-z'
'-x+1/2,y+1/2,-z'
'x+1/2,-y+1/2,z'
loop_
_atom_site_label
_atom_site_fract_x
_atom_site_fract_y
_atom_site_fract_z
Cs1 0.0000 0.0000 0.0000
Cs2 0.1705 0.5000 0.0406
Cs3 0.2459 0.0000 0.4404
U1 0.0000 0.2508 0.5000
F1 0.0431 0.0000 0.3803
F2 0.0679 0.5000 0.6499
F3 0.0961 0.2965 0.3034
F4 0.1427 0.1996 0.7262